[1]
VASP calculation (PBEsol) on a relaxed Li2LaIr crystal.

## Properties
As for the formation enthalpy at 0 K: -0.131 eV/atom. Its distance to the lowest polymorph of the same formula is 171 meV/atom. For the volume, the calculation gives 20.46 A^3/atom.

a = 4.0154 Å, b = 4.0154 Å, c = 10.5388 Å
α = 100.98°, β = 100.98°, γ = 90.00°
Last column: nearest neighbours and their distance in Å.
Fractional positions:
Ir: 0.2500 0.7500 0.5000  4 Li 2.81, 4 La 2.84
Ir: 0.0000 0.0000 0.0000  4 Li 2.81, 4 La 2.84
Li: 0.9563 0.8750 0.2500  2 Li 2.42
Li: 0.2937 0.3750 0.2500  2 Li 2.42
Li: 0.1250 0.7063 0.7500  2 Li 2.42
Li: 0.6250 0.0437 0.7500  2 Li 2.42
La: 0.7500 0.2500 0.5000  4 Ir 2.84, 4 Li 3.04
La: 0.5000 0.5000 0.0000  4 Ir 2.84, 4 Li 3.04

[2]
VASP calculation (PBEsol) on a relaxed CuBiAsBr2 crystal.

## Properties
As for the uncorrected formation energy: 157 meV per atom. For the volume, the calculation gives 22.94 A^3/atom.

a = 4.7748 Å, b = 4.7748 Å, c = 5.0300 Å
α = 90.00°, β = 90.00°, γ = 90.00°
Last column: nearest neighbours and their distance in Å.
Fractional positions:
As: 0.0000 0.0000 0.5000  2 Cu 2.51
Cu: 0.0000 0.0000 0.0000  4 Br 2.39, 2 As 2.51
Bi: 0.5000 0.5000 0.5000  4 As 3.38, 8 Br 3.47
Br: 0.0000 0.5000 0.0000  2 Cu 2.39
Br: 0.5000 0.0000 0.0000  2 Cu 2.39

[3]
VASP calculation (PBEsol) on a relaxed MnMoW crystal.

## Properties
As for the formation enthalpy at 0 K: 1.088 eV/atom. For the volume, the calculation gives 16.95 A^3/atom.

a = 4.1585 Å, b = 4.1585 Å, c = 4.1585 Å
α = 60.00°, β = 60.00°, γ = 60.00°
Last column: nearest neighbours and their distance in Å.
Fractional positions:
Mn: 0.0000 0.0000 0.0000  4 W 2.55
Mo: 0.5000 0.5000 0.5000  4 W 2.55
W: 0.2500 0.2500 0.2500  4 Mn 2.55, 4 Mo 2.55

[4]
VASP calculation (PBEsol) on a relaxed MgAg4 crystal.

## Properties
As for the formation enthalpy at 0 K: -0.037 eV/atom. For the volume, the calculation gives 17.10 A^3/atom.

a = 2.9335 Å, b = 2.9335 Å, c = 11.5957 Å
α = 82.73°, β = 82.73°, γ = 60.00°
Last column: nearest neighbours and their distance in Å.
Fractional positions:
Mg: 0.0000 0.0000 0.0000  6 Ag 2.84, 6 Mg 2.93
Ag: 0.6003 0.6003 0.1990  3 Mg 2.84, 9 Ag 2.86-2.93
Ag: 0.1999 0.1999 0.4003  12 Ag 2.85-2.93
Ag: 0.8001 0.8001 0.5997  12 Ag 2.85-2.93
Ag: 0.3997 0.3997 0.8010  3 Mg 2.84, 9 Ag 2.86-2.93

> Number 1 is which compound?

Li2LaIr

> Among the records above, which one has the lowest volume?

MnMoW